i:
# YSi2Tc2

A geometry-optimized YSi2Tc2 structure (PBE-GGA, Alexandria).

abc: 3.513 4.574 10.497
angles: 95.22 90.00 90.00
Fractional coordinates of all 10 atoms:
Tc: 0.750 0.170 0.108
Tc: 0.250 0.248 0.509
Tc: 0.750 0.752 0.491
Tc: 0.250 0.830 0.892
Y: 0.250 0.697 0.253
Y: 0.750 0.303 0.747
Si: 0.250 0.778 0.653
Si: 0.250 0.332 0.971
Si: 0.750 0.222 0.347
Si: 0.750 0.668 0.029

Summary:
density	6.7	g cm⁻³



ii:
# YSi2Tc2

A geometry-optimized YSi2Tc2 structure (PBE-GGA, Alexandria).

abc: 4.134 4.134 5.839
angles: 69.27 69.27 90.00
Fractional coordinates of all 5 atoms:
Si: 0.623 0.623 0.754
Si: 0.377 0.377 0.246
Tc: 0.250 0.750 0.500
Tc: 0.750 0.250 0.500
Y: 0.000 0.000 0.000

Summary:
density	6.6	g cm⁻³



iii:
# YSi2Tc2

A geometry-optimized YSi2Tc2 structure (PBE-GGA, Alexandria).

abc: 4.306 4.306 5.665
angles: 67.67 67.67 90.00
Fractional coordinates of all 5 atoms:
Si: 0.750 0.250 0.500
Si: 0.250 0.750 0.500
Tc: 0.622 0.622 0.757
Tc: 0.378 0.378 0.243
Y: 0.000 0.000 0.000

Summary:
density	6.4	g cm⁻³



Least stable structure among those shown: iii.